Entry 1:
{"formula": "RbDySe3", "functional": "PBE", "state": "optimized geometry", "energy_ev_per_fu": -22.17, "lattice": [[7.356, 0.000, 0.000], [2.105, 7.210, 0.000], [2.784, 1.384, 7.104]], "species": ["Rb", "Rb", "Dy", "Dy", "Se", "Se", "Se", "Se", "Se", "Se"], "fractional_positions": [[0.163, 0.097, 0.179], [0.837, 0.903, 0.821], [0.475, 0.268, 0.456], [0.525, 0.732, 0.544], [0.223, 0.638, 0.467], [0.296, 0.011, 0.742], [0.353, 0.521, 0.149], [0.647, 0.479, 0.851], [0.704, 0.989, 0.258], [0.777, 0.362, 0.533]]}

***

Entry 2:
{"formula": "LiHg3IrS4", "functional": "PBE", "state": "optimized geometry", "energy_ev_per_fu": -26.80, "lattice": [[5.989, 0.000, 0.000], [0.000, 5.989, 0.000], [0.000, 0.000, 5.989]], "species": ["Li", "Hg", "Hg", "Hg", "Ir", "S", "S", "S", "S"], "fractional_positions": [[0.000, 0.000, 0.000], [0.000, 0.500, 0.500], [0.500, 0.000, 0.500], [0.500, 0.500, 0.000], [0.500, 0.500, 0.500], [0.244, 0.244, 0.244], [0.244, 0.756, 0.756], [0.756, 0.244, 0.756], [0.756, 0.756, 0.244]]}

***

Entry 3:
{"formula": "CsTbIn", "functional": "PBE", "state": "optimized geometry", "energy_ev_per_fu": -5.45, "lattice": [[7.862, 0.000, 0.000], [0.000, 7.862, 0.000], [0.000, 0.000, 7.862]], "species": ["Cs", "Cs", "Cs", "Cs", "Tb", "Tb", "Tb", "Tb", "In", "In", "In", "In"], "fractional_positions": [[0.000, 0.000, 0.000], [0.000, 0.500, 0.500], [0.500, 0.000, 0.500], [0.500, 0.500, 0.000], [0.250, 0.250, 0.250], [0.250, 0.750, 0.750], [0.750, 0.250, 0.750], [0.750, 0.750, 0.250], [0.250, 0.250, 0.750], [0.250, 0.750, 0.250], [0.750, 0.250, 0.250], [0.750, 0.750, 0.750]]}

***

Entry 4:
{"formula": "RbZr2", "functional": "PBE", "state": "optimized geometry", "energy_ev_per_fu": -16.42, "lattice": [[3.210, 0.000, 0.000], [0.000, 23.270, 0.000], [0.000, 0.000, 5.407]], "species": ["Rb", "Rb", "Rb", "Rb", "Zr", "Zr", "Zr", "Zr", "Zr", "Zr", "Zr", "Zr"], "fractional_positions": [[0.000, 0.064, 0.250], [0.000, 0.936, 0.750], [0.500, 0.436, 0.750], [0.500, 0.564, 0.250], [0.000, 0.274, 0.750], [0.000, 0.335, 0.250], [0.000, 0.665, 0.750], [0.000, 0.726, 0.250], [0.500, 0.165, 0.750], [0.500, 0.226, 0.250], [0.500, 0.774, 0.750], [0.500, 0.835, 0.250]]}

***

Entry 5:
{"formula": "KLuAlAu", "functional": "PBE", "state": "optimized geometry", "energy_ev_per_fu": -12.53, "lattice": [[7.390, 0.000, 0.000], [0.000, 7.390, 0.000], [0.000, 0.000, 7.390]], "species": ["K", "K", "K", "K", "Lu", "Lu", "Lu", "Lu", "Al", "Al", "Al", "Al", "Au", "Au", "Au", "Au"], "fractional_positions": [[0.000, 0.000, 0.000], [0.000, 0.500, 0.500], [0.500, 0.000, 0.500], [0.500, 0.500, 0.000], [0.000, 0.000, 0.500], [0.000, 0.500, 0.000], [0.500, 0.000, 0.000], [0.500, 0.500, 0.500], [0.250, 0.250, 0.750], [0.250, 0.750, 0.250], [0.750, 0.250, 0.250], [0.750, 0.750, 0.750], [0.250, 0.250, 0.250], [0.250, 0.750, 0.750], [0.750, 0.250, 0.750], [0.750, 0.750, 0.250]]}

***

Entry 6:
{"formula": "YInCoNi", "functional": "PBE", "state": "optimized geometry", "energy_ev_per_fu": -22.73, "lattice": [[6.428, 0.000, 0.000], [0.000, 6.428, 0.000], [0.000, 0.000, 6.428]], "species": ["Y", "Y", "Y", "Y", "In", "In", "In", "In", "Co", "Co", "Co", "Co", "Ni", "Ni", "Ni", "Ni"], "fractional_positions": [[0.000, 0.000, 0.000], [0.000, 0.500, 0.500], [0.500, 0.000, 0.500], [0.500, 0.500, 0.000], [0.000, 0.000, 0.500], [0.000, 0.500, 0.000], [0.500, 0.000, 0.000], [0.500, 0.500, 0.500], [0.250, 0.250, 0.750], [0.250, 0.750, 0.250], [0.750, 0.250, 0.250], [0.750, 0.750, 0.750], [0.250, 0.250, 0.250], [0.250, 0.750, 0.750], [0.750, 0.250, 0.750], [0.750, 0.750, 0.250]]}

***

Entry 7:
{"formula": "DyTmTeO2", "functional": "PBE", "state": "optimized geometry", "energy_ev_per_fu": -37.01, "lattice": [[3.884, 0.000, 0.000], [0.000, 3.884, 0.000], [0.000, 0.000, 12.344]], "species": ["Dy", "Dy", "Tm", "Tm", "Te", "Te", "O", "O", "O", "O"], "fractional_positions": [[0.000, 0.000, 0.000], [0.500, 0.500, 0.500], [0.000, 0.000, 0.675], [0.500, 0.500, 0.175], [0.000, 0.000, 0.338], [0.500, 0.500, 0.838], [0.000, 0.500, 0.090], [0.000, 0.500, 0.590], [0.500, 0.000, 0.090], [0.500, 0.000, 0.590]]}

***

Entry 8:
{"formula": "Pr3Mg2HgPdAu2", "functional": "PBE", "state": "optimized geometry", "energy_ev_per_fu": -35.45, "lattice": [[4.129, 0.000, 0.000], [0.000, 6.748, 3.943], [0.000, -6.748, 3.943]], "species": ["Pr", "Pr", "Pr", "Mg", "Mg", "Hg", "Pd", "Au", "Au"], "fractional_positions": [[0.000, 0.000, 0.000], [0.000, 0.174, 0.567], [0.000, 0.567, 0.174], [0.500, 0.583, 0.820], [0.500, 0.820, 0.583], [0.500, 0.337, 0.337], [0.000, 0.602, 0.602], [0.500, 0.242, 0.893], [0.500, 0.893, 0.242]]}